# PBE-GGA PuTlCdAu, optimized geometry
data_PuTlCdAu
_chemical_formula_sum 'Pu4 Tl4 Cd4 Au4'
_symmetry_space_group_name_H-M 'F -4 3 m'
_symmetry_Int_Tables_number 216
_symmetry_space_group_name_Hall 'F -4 2 3'
_cell_length_a 7.2604
_cell_length_b 7.2604
_cell_length_c 7.2604
_cell_angle_alpha 90.00
_cell_angle_beta 90.00
_cell_angle_gamma 90.00
loop_
_atom_site_label
_atom_site_type_symbol
_atom_site_fract_x
_atom_site_fract_y
_atom_site_fract_z
Pu1 Pu 0.0000 0.0000 0.0000
Tl1 Tl 0.2500 0.2500 0.2500
Cd1 Cd 0.0000 0.0000 0.5000
Au1 Au 0.2500 0.2500 0.7500
# - magnetization (μB/f.u.) = 5.6
# - electronic total energy (eV for the cell shown) = -86.2
# - crystal system = cubic